[1]
# SCAN AlHF2, single point on PBEsol structure
# Total magnetization = 0.0 μB/f.u.
# Volume = 14.99 Å³ per atom
data_AlHF2
_chemical_formula_sum 'Al2 H2 F4'
_cell_length_a 5.725
_cell_length_b 5.725
_cell_length_c 5.725
_cell_angle_alpha 125.51
_cell_angle_beta 125.51
_cell_angle_gamma 80.70
_symmetry_space_group_name_H-M 'P 1'
_symmetry_Int_Tables_number 1
loop_
_symmetry_equiv_pos_as_xyz
'x,y,z'
loop_
_atom_site_label
_atom_site_type_symbol
_atom_site_fract_x
_atom_site_fract_y
_atom_site_fract_z
_atom_site_occupancy
Al1 Al 0.375 0.625 0.750 1
Al2 Al 0.625 0.375 0.250 1
H1 H 0.125 0.875 0.250 1
H2 H 0.875 0.125 0.750 1
F1 F 0.000 0.500 0.500 1
F2 F 0.500 0.000 0.000 1
F3 F 0.500 0.500 0.000 1
F4 F 0.500 0.500 0.500 1

---

[2]
# SCAN KAl2P2H8O12F, single point on PBEsol structure
# Total magnetization = 0.0 μB/f.u.
# Volume = 9.54 Å³ per atom
data_KAl2P2H8O12F
_chemical_formula_sum 'K2 Al4 P4 H16 O24 F2'
_cell_length_a 9.277
_cell_length_b 9.749
_cell_length_c 5.484
_cell_angle_alpha 90.00
_cell_angle_beta 90.00
_cell_angle_gamma 90.00
_symmetry_space_group_name_H-M 'P 1'
_symmetry_Int_Tables_number 1
loop_
_symmetry_equiv_pos_as_xyz
'x,y,z'
loop_
_atom_site_label
_atom_site_type_symbol
_atom_site_fract_x
_atom_site_fract_y
_atom_site_fract_z
_atom_site_occupancy
K1 K 0.000 0.000 0.000 1
K2 K 0.500 0.500 0.000 1
Al1 Al 0.143 0.390 0.038 1
Al2 Al 0.357 0.890 0.038 1
Al3 Al 0.643 0.110 0.038 1
Al4 Al 0.857 0.610 0.038 1
P1 P 0.145 0.676 0.783 1
P2 P 0.355 0.176 0.783 1
P3 P 0.645 0.824 0.783 1
P4 P 0.855 0.324 0.783 1
H1 H 0.018 0.727 0.359 1
H2 H 0.151 0.227 0.391 1
H3 H 0.215 0.880 0.428 1
H4 H 0.225 0.538 0.403 1
H5 H 0.275 0.038 0.403 1
H6 H 0.285 0.380 0.428 1
H7 H 0.349 0.727 0.391 1
H8 H 0.482 0.227 0.359 1
H9 H 0.518 0.773 0.359 1
H10 H 0.651 0.273 0.391 1
H11 H 0.715 0.620 0.428 1
H12 H 0.725 0.962 0.403 1
H13 H 0.775 0.462 0.403 1
H14 H 0.785 0.120 0.428 1
H15 H 0.849 0.773 0.391 1
H16 H 0.982 0.273 0.359 1
O1 O 0.020 0.324 0.803 1
O2 O 0.073 0.249 0.268 1
O3 O 0.184 0.707 0.512 1
O4 O 0.203 0.787 0.955 1
O5 O 0.211 0.535 0.851 1
O6 O 0.237 0.957 0.313 1
O7 O 0.263 0.457 0.313 1
O8 O 0.289 0.035 0.851 1
O9 O 0.297 0.287 0.955 1
O10 O 0.316 0.207 0.512 1
O11 O 0.427 0.749 0.268 1
O12 O 0.480 0.824 0.803 1
O13 O 0.520 0.176 0.803 1
O14 O 0.573 0.251 0.268 1
O15 O 0.684 0.793 0.512 1
O16 O 0.703 0.713 0.955 1
O17 O 0.711 0.965 0.851 1
O18 O 0.737 0.543 0.313 1
O19 O 0.763 0.043 0.313 1
O20 O 0.789 0.465 0.851 1
O21 O 0.797 0.213 0.955 1
O22 O 0.816 0.293 0.512 1
O23 O 0.927 0.751 0.268 1
O24 O 0.980 0.676 0.803 1
F1 F 0.000 0.500 0.171 1
F2 F 0.500 0.000 0.171 1

---

[3]
# SCAN Li3Al3P3H2O14F, single point on PBEsol structure
# Total magnetization = 0.0 μB/f.u.
# Volume = 9.22 Å³ per atom
data_Li3Al3P3H2O14F
_chemical_formula_sum 'Li6 Al6 P6 H4 O28 F2'
_cell_length_a 5.031
_cell_length_b 7.085
_cell_length_c 14.053
_cell_angle_alpha 91.01
_cell_angle_beta 93.05
_cell_angle_gamma 106.48
_symmetry_space_group_name_H-M 'P 1'
_symmetry_Int_Tables_number 1
loop_
_symmetry_equiv_pos_as_xyz
'x,y,z'
loop_
_atom_site_label
_atom_site_type_symbol
_atom_site_fract_x
_atom_site_fract_y
_atom_site_fract_z
_atom_site_occupancy
Li1 Li 0.000 0.000 0.000 1
Li2 Li 0.143 0.663 0.286 1
Li3 Li 0.329 0.330 0.335 1
Li4 Li 0.479 0.998 0.616 1
Li5 Li 0.667 0.666 0.667 1
Li6 Li 0.812 0.318 0.949 1
Al1 Al 0.072 0.328 0.142 1
Al2 Al 0.077 0.329 0.641 1
Al3 Al 0.405 0.657 0.975 1
Al4 Al 0.408 0.659 0.477 1
Al5 Al 0.739 0.989 0.810 1
Al6 Al 0.743 0.997 0.308 1
P1 P 0.006 0.936 0.514 1
P2 P 0.140 0.718 0.766 1
P3 P 0.339 0.266 0.847 1
P4 P 0.472 0.051 0.101 1
P5 P 0.671 0.600 0.184 1
P6 P 0.805 0.384 0.434 1
H1 H 0.168 0.073 0.235 1
H2 H 0.502 0.405 0.569 1
H3 H 0.832 0.735 0.900 1
H4 H 0.976 0.580 0.050 1
O1 O 0.040 0.171 0.880 1
O2 O 0.045 0.159 0.246 1
O3 O 0.099 0.495 0.037 1
O4 O 0.105 0.479 0.403 1
O5 O 0.143 0.661 0.871 1
O6 O 0.159 0.111 0.582 1
O7 O 0.179 0.789 0.528 1
O8 O 0.304 0.200 0.086 1
O9 O 0.320 0.875 0.034 1
O10 O 0.325 0.327 0.744 1
O11 O 0.371 0.513 0.215 1
O12 O 0.379 0.490 0.580 1
O13 O 0.439 0.813 0.734 1
O14 O 0.471 0.993 0.207 1
O15 O 0.490 0.440 0.916 1
O16 O 0.512 0.120 0.861 1
O17 O 0.635 0.531 0.420 1
O18 O 0.652 0.208 0.367 1
O19 O 0.670 0.654 0.078 1
O20 O 0.708 0.843 0.547 1
O21 O 0.710 0.820 0.913 1
O22 O 0.772 0.141 0.070 1
O23 O 0.806 0.325 0.540 1
O24 O 0.825 0.779 0.249 1
O25 O 0.840 0.452 0.200 1
O26 O 0.968 0.864 0.751 1
O27 O 0.987 0.542 0.699 1
O28 O 0.993 0.995 0.410 1
F1 F 0.450 0.818 0.369 1
F2 F 0.784 0.152 0.702 1

---

| no. | DFT total energy (eV/f.u.) |
| --- | --- |
| 1 | -24.95 |
| 2 | -205.38 |
| 3 | -230.51 |